The following is a DFT calculation (PBE+U) of crystalline SrSmZrFeO6 at its relaxed geometry.

Output
- DOS(E_F): 0.502 states/eV/atom
- Crystal system: cubic
- Magnetization: 1.000 μB/f.u.
- Symmetry: F-43m, No. 216
- Uncorrected energy: -7.479 eV per atom

Geometry as POSCAR:
```
SrSmZrFeO6
1.0
0.000 3.976 3.976
3.976 0.000 3.976
3.976 3.976 0.000
Sr Sm Zr Fe O
1 1 1 1 6
direct
0.000 0.000 0.000
0.500 0.500 0.500
0.250 0.250 0.250
0.750 0.750 0.750
0.510 0.510 0.990
0.510 0.990 0.510
0.510 0.990 0.990
0.990 0.510 0.510
0.990 0.510 0.990
0.990 0.990 0.510
```